Nd7Ho12Tl after structural relaxation, computed with PBE.

Cell: 11.231 9.436 6.178 Å, 89.92 100.24 83.09°
Atoms (fractional coordinates):
Nd: 0.100 0.698 0.704
Nd: 0.445 0.147 0.651
Nd: 0.248 0.755 0.252
Nd: 0.500 0.500 0.500
Nd: 0.752 0.245 0.748
Nd: 0.555 0.853 0.349
Nd: 0.900 0.302 0.296
Ho: 0.050 0.348 0.850
Ho: 0.597 0.199 0.199
Ho: 0.292 0.101 0.100
Ho: 0.802 0.597 0.594
Ho: 0.145 0.050 0.556
Ho: 0.653 0.551 0.048
Ho: 0.347 0.449 0.952
Ho: 0.855 0.950 0.444
Ho: 0.198 0.403 0.406
Ho: 0.708 0.899 0.900
Ho: 0.403 0.801 0.801
Ho: 0.950 0.652 0.150
Tl: 0.000 0.000 0.000

E_form = 0.0 eV per formula unit
Space-group type = P-1, No. 2
DFT total energy = -90.72 eV for the cell shown

***

CeNd2SmDy after structural relaxation, computed with PBE.

Cell: 7.354 7.613 6.025 Å, 90.01 90.00 90.00°
Atoms (fractional coordinates):
Ce: 0.000 0.000 0.000
Ce: 0.000 0.000 0.500
Nd: 0.684 0.712 0.750
Nd: 0.684 0.288 0.750
Nd: 0.316 0.712 0.250
Nd: 0.316 0.288 0.250
Sm: 0.155 0.500 0.750
Sm: 0.845 0.500 0.250
Dy: 0.614 0.000 0.250
Dy: 0.386 0.000 0.750

E_form = 1.3 eV per formula unit
Space-group type = Pmma, No. 51
DFT total energy = -46.88 eV for the cell shown

***

AcGdMg4 after structural relaxation, computed with PBE.

Cell: 6.213 6.213 6.213 Å, 60.00 60.00 60.00°
Atoms (fractional coordinates):
Ac: 0.250 0.250 0.250
Gd: 0.000 0.000 0.000
Mg: 0.626 0.626 0.123
Mg: 0.626 0.123 0.626
Mg: 0.626 0.626 0.626
Mg: 0.123 0.626 0.626

E_form = -0.6 eV per formula unit
Space-group type = F-43m, No. 216
DFT total energy = -25.19 eV for the cell shown

***

BaAcPd after structural relaxation, computed with PBE.

Cell: 4.411 8.816 21.941 Å, 143.51 90.00 90.00°
Atoms (fractional coordinates):
Ba: 0.249 0.109 0.867
Ba: 0.749 0.391 0.133
Ba: 0.751 0.891 0.133
Ba: 0.251 0.609 0.867
Ac: 0.750 0.351 0.613
Ac: 0.250 0.149 0.387
Ac: 0.250 0.649 0.387
Ac: 0.750 0.851 0.613
Pd: 0.750 0.379 0.377
Pd: 0.250 0.121 0.623
Pd: 0.250 0.621 0.623
Pd: 0.750 0.879 0.377

E_form = -1.6 eV per formula unit
Polymorph energy (0 for the lowest one) = 0 meV per atom
Space-group type = P2_1/c, No. 14
DFT total energy = -51.10 eV for the cell shown

***

ZrPbBr2N after structural relaxation, computed with PBE.

Cell: 5.493 6.030 5.493 Å, 90.00 90.00 90.00°
Atoms (fractional coordinates):
Pb: 0.000 0.000 0.000
Br: 0.000 0.000 0.500
Br: 0.500 0.000 0.000
Zr: 0.000 0.500 0.000
N: 0.500 0.500 0.500

Formation energy without anion corrections = 1719 meV/atom
Space-group type = P4/mmm, No. 123
DFT total energy = -15.33 eV for the cell shown

***

CsAlGa after structural relaxation, computed with PBE.

Cell: 6.289 4.459 4.459 Å, 120.00 90.00 90.00°
Atoms (fractional coordinates):
Cs: 0.667 0.333 0.667
Al: 0.167 0.000 0.000
Ga: 0.166 0.667 0.333

E_form = 0.3 eV per formula unit
Polymorph energy (0 for the lowest one) = 141 meV per atom
Space-group type = P-6m2, No. 187
DFT total energy = -7.34 eV for the cell shown

***

PaReSnRh after structural relaxation, computed with PBE.

Cell: 4.781 4.781 4.781 Å, 60.00 60.00 60.00°
Atoms (fractional coordinates):
Re: 0.250 0.250 0.250
Pa: 0.000 0.000 0.000
Rh: 0.750 0.750 0.750
Sn: 0.500 0.500 0.500

E_form = -0.8 eV per formula unit
Space-group type = F-43m, No. 216
DFT total energy = -34.11 eV for the cell shown

***

CuOs2Ru after structural relaxation, computed with PBE.

Cell: 2.656 2.656 9.145 Å, 90.00 90.00 117.89°
Atoms (fractional coordinates):
Cu: 0.500 0.500 0.749
Os: 0.000 0.000 0.997
Os: 0.500 0.500 0.251
Ru: 0.000 0.000 0.502

E_form = 2.2 eV per formula unit
Polymorph energy (0 for the lowest one) = 341 meV per atom
Space-group type = Cmm2, No. 35
DFT total energy = -33.64 eV for the cell shown

***

Y3SnRu2 after structural relaxation, computed with PBE.

Cell: 3.473 3.473 11.062 Å, 90.00 90.00 90.00°
Atoms (fractional coordinates):
Y: 0.000 0.000 0.000
Y: 0.000 0.000 0.699
Y: 0.000 0.000 0.301
Sn: 0.500 0.500 0.500
Ru: 0.500 0.500 0.843
Ru: 0.500 0.500 0.157

E_form = -2.7 eV per formula unit
Space-group type = P4/mmm, No. 123
DFT total energy = -44.67 eV for the cell shown

***

PmPu2Ge2Au2 after structural relaxation, computed with PBE.

Cell: 4.566 4.566 9.052 Å, 75.39 75.39 60.00°
Atoms (fractional coordinates):
Pm: 0.000 0.000 0.000
Pu: 0.142 0.142 0.575
Pu: 0.858 0.858 0.425
Ge: 0.737 0.737 0.790
Ge: 0.263 0.263 0.210
Au: 0.582 0.582 0.254
Au: 0.418 0.418 0.746

E_form = -3.4 eV per formula unit
Space-group type = R-3m, No. 166
DFT total energy = -52.61 eV for the cell shown

***

ZnRe3O after structural relaxation, computed with PBE.

Cell: 4.086 4.086 4.086 Å, 90.00 90.00 90.00°
Atoms (fractional coordinates):
Re: 0.000 0.500 0.000
Re: 0.000 0.000 0.500
Re: 0.500 0.000 0.000
Zn: 0.500 0.500 0.500
O: 0.000 0.000 0.000

Polymorph energy (0 for the lowest one) = 0 meV per atom
Formation energy without anion corrections = 594 meV/atom
Space-group type = Pm-3m, No. 221
DFT total energy = -40.61 eV for the cell shown

***

HgH4PdRh after structural relaxation, computed with PBE.

Cell: 5.176 5.176 6.265 Å, 72.20 72.20 59.99°
Atoms (fractional coordinates):
Hg: 0.992 0.992 0.266
Hg: 0.008 0.008 0.734
H: 0.361 0.361 0.581
H: 0.639 0.639 0.419
H: 0.125 0.510 0.090
H: 0.514 0.514 0.229
H: 0.490 0.875 0.910
H: 0.510 0.125 0.090
H: 0.486 0.486 0.771
H: 0.875 0.490 0.910
Pd: 0.702 0.702 0.650
Pd: 0.298 0.298 0.350
Rh: 0.281 0.281 0.868
Rh: 0.719 0.719 0.132

Space-group type = C2/m, No. 12
DFT total energy = -52.03 eV for the cell shown

***

ZrPb2W after structural relaxation, computed with PBE.

Cell: 5.232 5.232 5.222 Å, 80.01 80.01 39.55°
Atoms (fractional coordinates):
Pb: 0.991 0.991 0.014
Pb: 0.509 0.509 0.486
W: 0.250 0.250 0.250
Zr: 0.750 0.750 0.750

E_form = 2.3 eV per formula unit
Polymorph energy (0 for the lowest one) = 227 meV per atom
Space-group type = C2/m, No. 12
DFT total energy = -26.62 eV for the cell shown

***

Rb after structural relaxation, computed with PBE.

Cell: 12.212 12.212 12.212 Å, 90.00 90.00 90.00°
Atoms (fractional coordinates):
Rb: 0.875 0.703 0.047
Rb: 0.062 0.062 0.062
Rb: 0.203 0.453 0.125
Rb: 0.812 0.312 0.188
Rb: 0.453 0.125 0.203
Rb: 0.547 0.625 0.297
Rb: 0.188 0.812 0.312
Rb: 0.797 0.953 0.375
Rb: 0.938 0.562 0.438
Rb: 0.125 0.203 0.453
Rb: 0.625 0.297 0.547
Rb: 0.438 0.938 0.562
Rb: 0.297 0.547 0.625
Rb: 0.688 0.688 0.688
Rb: 0.047 0.875 0.703
Rb: 0.953 0.375 0.797
Rb: 0.312 0.188 0.812
Rb: 0.703 0.047 0.875
Rb: 0.562 0.438 0.938
Rb: 0.375 0.797 0.953

E_form = 0.0 eV per formula unit
Polymorph energy (0 for the lowest one) = 16 meV per atom
Space-group type = P4_132, No. 213
DFT total energy = -19.03 eV for the cell shown

***

Sr2PuZnS5 after structural relaxation, computed with PBE.

Cell: 4.032 8.955 12.356 Å, 90.00 90.00 103.01°
Atoms (fractional coordinates):
Sr: 0.879 0.757 0.820
Sr: 0.108 0.216 0.683
Sr: 0.121 0.243 0.320
Sr: 0.892 0.784 0.183
Pu: 0.794 0.587 0.520
Pu: 0.206 0.413 0.020
Zn: 0.556 0.112 0.941
Zn: 0.444 0.888 0.441
S: 0.357 0.714 0.005
S: 0.693 0.385 0.874
S: 0.499 0.999 0.775
S: 0.289 0.578 0.664
S: 0.947 0.893 0.543
S: 0.643 0.286 0.505
S: 0.307 0.615 0.374
S: 0.501 0.001 0.275
S: 0.711 0.422 0.164
S: 0.053 0.107 0.043

Formation energy without anion corrections = -1581 meV/atom
Space-group type = Cmc2_1, No. 36
DFT total energy = -107.67 eV for the cell shown

***

EuDySiPd after structural relaxation, computed with PBE.

Cell: 5.055 5.055 5.055 Å, 60.00 60.00 60.00°
Atoms (fractional coordinates):
Eu: 0.500 0.500 0.500
Si: 0.750 0.750 0.750
Pd: 0.250 0.250 0.250
Dy: 0.000 0.000 0.000

Formation energy without anion corrections = -599 meV/atom
Space-group type = F-43m, No. 216
DFT total energy = -27.89 eV for the cell shown

***

BaCeTeO5 after structural relaxation, computed with PBE.

Cell: 6.405 6.405 8.706 Å, 108.55 108.55 100.42°
Atoms (fractional coordinates):
Ba: 0.322 0.678 0.250
Ba: 0.678 0.322 0.750
Ce: 0.000 0.000 0.500
Ce: 0.000 0.000 0.000
Te: 0.714 0.286 0.250
Te: 0.286 0.714 0.750
O: 0.036 0.964 0.250
O: 0.964 0.036 0.750
O: 0.881 0.317 0.072
O: 0.119 0.683 0.928
O: 0.683 0.119 0.428
O: 0.317 0.881 0.572
O: 0.765 0.608 0.384
O: 0.235 0.392 0.616
O: 0.392 0.235 0.116
O: 0.608 0.765 0.884

Formation energy without anion corrections = -2335 meV/atom
Space-group type = C2/c, No. 15
DFT total energy = -108.93 eV for the cell shown

***

CsHg3Pd after structural relaxation, computed with PBE.

Cell: 26.014 7.139 9.202 Å, 90.00 157.75 90.00°
Atoms (fractional coordinates):
Cs: 0.219 0.091 0.029
Cs: 0.781 0.909 0.971
Cs: 0.281 0.591 0.471
Cs: 0.719 0.409 0.529
Hg: 0.294 0.843 0.881
Hg: 0.706 0.157 0.119
Hg: 0.206 0.343 0.619
Hg: 0.794 0.657 0.381
Hg: 0.439 0.490 0.499
Hg: 0.561 0.510 0.501
Hg: 0.061 0.990 0.001
Hg: 0.939 0.010 0.999
Hg: 0.589 0.896 0.079
Hg: 0.411 0.104 0.921
Hg: 0.911 0.396 0.421
Hg: 0.089 0.604 0.579
Pd: 0.553 0.827 0.681
Pd: 0.447 0.173 0.319
Pd: 0.947 0.327 0.819
Pd: 0.053 0.673 0.181

E_form = -1.0 eV per formula unit
Polymorph energy (0 for the lowest one) = 67 meV per atom
Space-group type = P2_1/c, No. 14
DFT total energy = -32.00 eV for the cell shown

***

CoAs after structural relaxation, computed with PBE.

Cell: 6.503 6.503 6.503 Å, 155.70 145.49 42.66°
Atoms (fractional coordinates):
As: 0.364 0.614 0.250
As: 0.636 0.386 0.750
Co: 0.814 0.064 0.250
Co: 0.186 0.936 0.750

E_form = 0.1 eV per formula unit
Space-group type = Imma, No. 74
DFT total energy = -23.27 eV for the cell shown

***

KPuH2 after structural relaxation, computed with PBE.

Cell: 3.450 3.450 7.079 Å, 75.90 75.90 60.00°
Atoms (fractional coordinates):
H: 0.738 0.738 0.787
H: 0.262 0.262 0.213
K: 0.500 0.500 0.500
Pu: 0.000 0.000 0.000

Polymorph energy (0 for the lowest one) = 0 meV per atom
Space-group type = R-3m, No. 166
DFT total energy = -22.28 eV for the cell shown